1.
A PBEsol-optimized structure of Mg3Zn. Source: Alexandria, functional meta-GGA SCAN.

abc: 3.1200 4.0809 6.2657
angles: 90.00 90.00 90.00
Closest atoms and distances in Å follow each position.
Atoms (fractional coordinates):
1 Mg 0.0000 0.0000 0.0000  10 Mg 3.07-3.12, 2 Zn 3.13
2 Mg 0.5000 0.5000 0.2670  7 Mg 2.92-3.12, 4 Zn 2.95
3 Mg 0.5000 0.5000 0.7330  7 Mg 2.92-3.12, 4 Zn 2.95
4 Zn 0.0000 0.0000 0.5000  10 Mg 2.95-3.13, 2 Zn 3.12



2.
A PBEsol-optimized structure of Mg5Zn3. Source: Alexandria, functional meta-GGA SCAN.

Computed properties:
* polymorph energy (0 for the lowest one): 0.0 kJ/mol of formula units

abc: 7.9685 7.9685 5.5339
angles: 90.00 90.00 120.00
Closest atoms and distances in Å follow each position.
Atoms (fractional coordinates):
1 Mg 0.0000 0.2464 0.2500  5 Zn 2.77-3.02
2 Mg 0.0000 0.7536 0.7500  5 Zn 2.77-3.02
3 Mg 0.2464 0.0000 0.2500  5 Zn 2.77-3.02
4 Mg 0.2464 0.2464 0.7500  5 Zn 2.77-3.02
5 Mg 0.3333 0.6667 0.0000  2 Mg 2.77, 6 Zn 2.80
6 Mg 0.3333 0.6667 0.5000  2 Mg 2.77, 6 Zn 2.80
7 Mg 0.6667 0.3333 0.0000  2 Mg 2.77, 6 Zn 2.80
8 Mg 0.6667 0.3333 0.5000  2 Mg 2.77, 6 Zn 2.80
9 Mg 0.7536 0.0000 0.7500  5 Zn 2.77-3.02
10 Mg 0.7536 0.7536 0.2500  5 Zn 2.77-3.02
11 Zn 0.0000 0.3980 0.7500  9 Mg 2.77-3.02
12 Zn 0.0000 0.6020 0.2500  9 Mg 2.77-3.02
13 Zn 0.3980 0.0000 0.7500  9 Mg 2.77-3.02
14 Zn 0.3980 0.3980 0.2500  9 Mg 2.77-3.02
15 Zn 0.6020 0.0000 0.2500  9 Mg 2.77-3.02
16 Zn 0.6020 0.6020 0.7500  9 Mg 2.77-3.02



3.
A PBEsol-optimized structure of MgZn5. Source: Alexandria, functional meta-GGA SCAN.

abc: 3.9607 11.5949 3.9413
angles: 90.00 90.00 90.00
Closest atoms and distances in Å follow each position.
Atoms (fractional coordinates):
1 Mg 0.0000 0.0000 0.0000  12 Zn 2.78-2.83
2 Mg 0.5000 0.5000 0.0000  12 Zn 2.78-2.83
3 Zn 0.0000 0.1697 0.5000  10 Zn 2.68-2.79, 2 Mg 2.78
4 Zn 0.0000 0.3262 0.0000  10 Zn 2.65-2.82, 2 Mg 2.83
5 Zn 0.0000 0.5000 0.5000  8 Zn 2.79-2.82, 4 Mg 2.79
6 Zn 0.0000 0.6738 0.0000  10 Zn 2.65-2.82, 2 Mg 2.83
7 Zn 0.0000 0.8303 0.5000  10 Zn 2.68-2.79, 2 Mg 2.78
8 Zn 0.5000 0.0000 0.5000  8 Zn 2.79-2.82, 4 Mg 2.79
9 Zn 0.5000 0.1738 0.0000  10 Zn 2.65-2.82, 2 Mg 2.83
10 Zn 0.5000 0.3303 0.5000  10 Zn 2.68-2.79, 2 Mg 2.78
11 Zn 0.5000 0.6697 0.5000  10 Zn 2.68-2.79, 2 Mg 2.78
12 Zn 0.5000 0.8262 0.0000  10 Zn 2.65-2.82, 2 Mg 2.83



4.
A PBEsol-optimized structure of MgZn2. Source: Alexandria, functional meta-GGA SCAN.

abc: 10.1662 2.8692 7.1238
angles: 90.00 109.90 90.00
Closest atoms and distances in Å follow each position.
Atoms (fractional coordinates):
1 Mg 0.1637 0.0000 0.1230  8 Zn 2.81-2.98, 2 Mg 2.87
2 Mg 0.3363 0.5000 0.8770  8 Zn 2.81-2.98, 2 Mg 2.87
3 Mg 0.6637 0.5000 0.1230  8 Zn 2.81-2.98, 2 Mg 2.87
4 Mg 0.8363 0.0000 0.8770  8 Zn 2.81-2.98, 2 Mg 2.87
5 Zn 0.0434 0.5000 0.7602  6 Zn 2.68-2.87, 5 Mg 2.81-2.89
6 Zn 0.1453 0.0000 0.5226  9 Zn 2.68-2.87, 3 Mg 2.92-2.98
7 Zn 0.3547 0.5000 0.4774  9 Zn 2.68-2.87, 3 Mg 2.92-2.98
8 Zn 0.4566 0.0000 0.2398  6 Zn 2.68-2.87, 5 Mg 2.81-2.89
9 Zn 0.5434 0.0000 0.7602  6 Zn 2.68-2.87, 5 Mg 2.81-2.89
10 Zn 0.6453 0.5000 0.5226  9 Zn 2.68-2.87, 3 Mg 2.92-2.98
11 Zn 0.8547 0.0000 0.4774  9 Zn 2.68-2.87, 3 Mg 2.92-2.98
12 Zn 0.9566 0.5000 0.2398  6 Zn 2.68-2.87, 5 Mg 2.81-2.89



5.
A PBEsol-optimized structure of MgZn5. Source: Alexandria, functional meta-GGA SCAN.

abc: 10.2716 2.8235 6.4812
angles: 90.00 105.61 90.00
Closest atoms and distances in Å follow each position.
Atoms (fractional coordinates):
1 Mg 0.0000 0.0000 0.0000  10 Zn 2.76-2.85, 2 Mg 2.82
2 Mg 0.5000 0.5000 0.0000  10 Zn 2.76-2.85, 2 Mg 2.82
3 Zn 0.1187 0.5000 0.7215  10 Zn 2.65-2.85, 2 Mg 2.81
4 Zn 0.1760 0.5000 0.3463  10 Zn 2.65-2.82, 2 Mg 2.85
5 Zn 0.2773 0.0000 0.0653  9 Zn 2.72-2.82, 3 Mg 2.76-2.82
6 Zn 0.3340 0.0000 0.6645  10 Zn 2.66-2.85, 2 Mg 2.76
7 Zn 0.4498 0.5000 0.3983  11 Zn 2.73-2.82, 1 Mg 2.77
8 Zn 0.6187 0.0000 0.7215  10 Zn 2.65-2.85, 2 Mg 2.81
9 Zn 0.6760 0.0000 0.3463  10 Zn 2.65-2.82, 2 Mg 2.85
10 Zn 0.7773 0.5000 0.0653  9 Zn 2.72-2.82, 3 Mg 2.76-2.82
11 Zn 0.8340 0.5000 0.6645  10 Zn 2.66-2.85, 2 Mg 2.76
12 Zn 0.9498 0.0000 0.3983  11 Zn 2.73-2.82, 1 Mg 2.77



6.
A PBEsol-optimized structure of Mg3Zn. Source: Alexandria, functional meta-GGA SCAN.

abc: 5.0525 5.0525 5.0525
angles: 90.00 90.00 90.00
Closest atoms and distances in Å follow each position.
Atoms (fractional coordinates):
1 Mg 0.0000 0.0000 0.5000  2 Zn 2.53
2 Mg 0.0000 0.5000 0.0000  2 Zn 2.53
3 Mg 0.5000 0.0000 0.0000  2 Zn 2.53
4 Zn 0.0000 0.0000 0.0000  6 Mg 2.53



| no. | ΔE_f (eV/atom) |
| --- | --- |
| 1 | -0.025 |
| 2 | -0.122 |
| 3 | -0.036 |
| 4 | -0.060 |
| 5 | -0.011 |
| 6 | 0.323 |